Record 1
SiNiSb2Te | PBEsol | optimized geometry

The structure belongs to space group P4/mmm (No. 123); the cell edges are 5.0392, 5.0392 and 5.1211 Å and the angles 90.00°, 90.00° and 90.00°. Symmetry generates all atoms from Si at (0.0000, 0.0000, 0.0000), Ni at (0.5000, 0.5000, 0.5000), Sb at (0.0000, 0.5000, 0.0000) and Te at (0.0000, 0.0000, 0.5000).

The calculation puts the electronic total energy at -3.859 eV/atom. As for the spin magnetization: 0.0884 μB per atom. The value obtained for the raw formation energy is 1.05 eV per atom.

---

Record 2
CaYPb2 | PBEsol | optimized geometry

The structure belongs to space group P4/mmm (No. 123); the cell edges are 3.5460, 3.5460 and 8.7993 Å and the angles 90.00°, 90.00° and 90.00°. Symmetry generates all atoms from Ca at (0.0000, 0.0000, 0.0000), Y at (0.0000, 0.0000, 0.5000) and Pb at (0.5000, 0.5000, 0.2551).

The calculation puts the electronic total energy at -4.794 eV/atom. The calculation puts the formation energy at -0.555 eV/atom. As for the spin magnetization: 0.0000 μB per atom.